A plane-wave DFT calculation with SCAN was carried out for a crystal of CdRe2C relaxed with PBEsol.

It has space group Fm-3m (No. 225), with a = 5.990 Å, b = 5.990 Å, c = 5.990 Å, α = 90.00°, β = 90.00° and γ = 90.00°. The asymmetric unit holds Cd at (0.000, 0.000, 0.000), Re at (0.250, 0.250, 0.250) and C at (0.000, 0.000, 0.500).

The calculation puts the electronic total energy at -43.59 eV/atom. The density of states at the Fermi level comes out at 12.841 states/eV per cell. For the volume, the calculation gives 13.44 A^3/atom. As for the formation energy: 2.087 eV per atom.


A plane-wave DFT calculation with SCAN was carried out for a crystal of Ga3BiMo relaxed with PBEsol.

It has space group Pm-3m (No. 221), with a = 4.882 Å, b = 4.882 Å, c = 4.882 Å, α = 90.00°, β = 90.00° and γ = 90.00°. The asymmetric unit holds Ga at (0.000, 0.000, 0.500), Bi at (0.500, 0.500, 0.500) and Mo at (0.000, 0.000, 0.000).

The calculation puts the electronic total energy at -31.93 eV/atom. The density of states at the Fermi level comes out at 4.620 states/eV per cell. For the volume, the calculation gives 23.28 A^3/atom. As for the formation energy: 0.572 eV per atom.


A plane-wave DFT calculation with SCAN was carried out for a crystal of NaSbRu3 relaxed with PBEsol.

It has space group Pm-3m (No. 221), with a = 4.840 Å, b = 4.840 Å, c = 4.840 Å, α = 90.00°, β = 90.00° and γ = 90.00°. The asymmetric unit holds Na at (0.000, 0.000, 0.000), Sb at (0.500, 0.500, 0.500) and Ru at (0.000, 0.500, 0.500).

The calculation puts the electronic total energy at -27.78 eV/atom. The density of states at the Fermi level comes out at 3.541 states/eV per cell. For the volume, the calculation gives 22.68 A^3/atom. For the formation energy without anion corrections, the calculation gives 1.414 eV/atom.


A plane-wave DFT calculation with SCAN was carried out for a crystal of FeHgRh2 relaxed with PBEsol.

It has space group P4/mmm (No. 123), with a = 2.985 Å, b = 2.985 Å, c = 6.601 Å, α = 90.00°, β = 90.00° and γ = 90.00°. The asymmetric unit holds Fe at (0.000, 0.000, 0.000), Hg at (0.000, 0.000, 0.500) and Rh at (0.500, 0.500, 0.214).

The calculation puts the electronic total energy at -38.57 eV/atom. The density of states at the Fermi level comes out at 1.391 states/eV per cell. For the volume, the calculation gives 14.70 A^3/atom. As for the formation energy: -0.113 eV per atom.


A plane-wave DFT calculation with SCAN was carried out for a crystal of Al2AgRu relaxed with PBEsol.

It has space group F-43m (No. 216), with a = 6.180 Å, b = 6.180 Å, c = 6.180 Å, α = 90.00°, β = 90.00° and γ = 90.00°. The asymmetric unit holds Al at (0.000, 0.000, 0.000), Al at (0.250, 0.250, 0.250), Ag at (0.250, 0.250, 0.750) and Ru at (0.000, 0.000, 0.500).

The calculation puts the electronic total energy at -20.48 eV/atom. The density of states at the Fermi level comes out at 8.106 states/eV per cell. For the volume, the calculation gives 14.75 A^3/atom. As for the formation energy: -0.052 eV per atom.


A plane-wave DFT calculation with SCAN was carried out for a crystal of Li2CuPO4 relaxed with PBEsol.

It has space group Pc (No. 7), with a = 4.962 Å, b = 5.318 Å, c = 7.855 Å, α = 90.00°, β = 129.13° and γ = 90.00°. The asymmetric unit holds Li at (0.000, 0.159, 0.000), Li at (0.748, 0.328, 0.247), Cu at (0.242, 0.342, 0.753), P at (0.495, 0.170, 0.499), O at (0.174, 0.167, 0.491), O at (0.399, 0.299, 0.289), O at (0.616, 0.103, 0.009) and O at (0.794, 0.316, 0.709).

The calculation puts the electronic total energy at -9.07 eV/atom. The density of states at the Fermi level comes out at 0.000 states/eV per cell. The energy above the most stable polymorph in this dataset comes out at 13 meV/atom. For the volume, the calculation gives 10.05 A^3/atom. For the formation energy without anion corrections, the calculation gives -2.159 eV/atom.


A plane-wave DFT calculation with SCAN was carried out for a crystal of GaMo2C relaxed with PBEsol.

It has space group R3m (No. 160, hexagonal axes), with a = 3.0028 Å, b = 3.0028 Å, c = 19.8474 Å, α = 90.00°, β = 90.00° and γ = 120.00°. The asymmetric unit holds Ga at (0.0000, 0.0000, 0.0000), Mo at (0.0000, 0.0000, 0.5609), Mo at (0.0000, 0.0000, 0.7743) and C at (0.0000, 0.0000, 0.1671).

The calculation puts the electronic total energy at -24.16 eV/atom. The density of states at the Fermi level comes out at 4.857 states/eV per cell. The energy above the most stable polymorph in this dataset comes out at 3 meV/atom. For the volume, the calculation gives 12.91 A^3/atom. As for the formation energy: -0.102 eV per atom.


A plane-wave DFT calculation with SCAN was carried out for a crystal of LiZrZn4 relaxed with PBEsol.

It has space group F-43m (No. 216), with a = 7.197 Å, b = 7.197 Å, c = 7.197 Å, α = 90.00°, β = 90.00° and γ = 90.00°. The asymmetric unit holds Li at (0.000, 0.000, 0.000), Zr at (0.250, 0.250, 0.250) and Zn at (0.124, 0.124, 0.624).

The calculation puts the electronic total energy at -14.75 eV/atom. The density of states at the Fermi level comes out at 9.840 states/eV per cell. For the volume, the calculation gives 15.53 A^3/atom. As for the formation energy: -0.228 eV per atom.


A plane-wave DFT calculation with SCAN was carried out for a crystal of LiCd2Ir relaxed with PBEsol.

It has space group P4/mmm (No. 123), with a = 4.537 Å, b = 4.537 Å, c = 3.163 Å, α = 90.00°, β = 90.00° and γ = 90.00°. The asymmetric unit holds Li at (0.000, 0.000, 0.000), Cd at (0.000, 0.500, 0.500) and Ir at (0.500, 0.500, 0.000).

The calculation puts the electronic total energy at -33.70 eV/atom. The density of states at the Fermi level comes out at 1.066 states/eV per cell. For the volume, the calculation gives 16.27 A^3/atom. As for the formation energy: -0.121 eV per atom.


A plane-wave DFT calculation with SCAN was carried out for a crystal of MgTe2Pt relaxed with PBEsol.

It has space group Cmmm (No. 65), with a = 6.000 Å, b = 8.182 Å, c = 3.970 Å, α = 90.00°, β = 90.00° and γ = 90.00°. The asymmetric unit holds Mg at (0.000, 0.000, 0.000), Te at (0.000, 0.286, 0.500) and Pt at (0.000, 0.500, 0.000).

The calculation puts the electronic total energy at -37.79 eV/atom. The density of states at the Fermi level comes out at 3.588 states/eV per cell. For the volume, the calculation gives 24.36 A^3/atom. For the formation energy without anion corrections, the calculation gives -0.370 eV/atom.


A plane-wave DFT calculation with SCAN was carried out for a crystal of Mg2TaAs relaxed with PBEsol.

It has space group Pmmm (No. 47), with a = 3.424 Å, b = 4.284 Å, c = 4.863 Å, α = 90.00°, β = 90.00° and γ = 90.00°. The asymmetric unit holds Mg at (0.000, 0.000, 0.000), Mg at (0.500, 0.500, 0.000), Ta at (0.000, 0.500, 0.500) and As at (0.500, 0.000, 0.500).

The calculation puts the electronic total energy at -24.01 eV/atom. The density of states at the Fermi level comes out at 2.284 states/eV per cell. For the volume, the calculation gives 17.83 A^3/atom. As for the formation energy: 0.172 eV per atom.


A plane-wave DFT calculation with SCAN was carried out for a crystal of BeCu2 relaxed with PBEsol.

It has space group I4_1/amd (No. 141, origin choice 2), with a = 3.415 Å, b = 3.415 Å, c = 20.982 Å, α = 90.00°, β = 90.00° and γ = 90.00°. The asymmetric unit holds Be at (0.000, 0.250, 0.292), Cu at (0.000, 0.250, 0.124) and Cu at (0.000, 0.250, 0.790).

The calculation puts the electronic total energy at -11.66 eV/atom. The density of states at the Fermi level comes out at 8.489 states/eV per cell. For the volume, the calculation gives 10.19 A^3/atom. As for the formation energy: -0.080 eV per atom.